Here is a relaxed structure of TiTcTe2N from the Alexandria database. Energies are from GGA-PBE.

Properties
D(E_F): 6.6 states/eV per cell
Space group: P4/mmm, No. 123
Energy relative to the lowest polymorph listed for this composition: 141 meV/atom
Raw formation energy: 2.194 eV per formula unit
Total DFT energy (no corrections): -6.135 eV per atom

The structure in POSCAR format:
```
TiTcTe2N
1.0
4.925 0.000 0.000
0.000 3.802 0.000
0.000 0.000 4.925
Te Tc Ti N
2 1 1 1
direct
0.000 0.000 0.500
0.500 0.000 0.000
0.000 0.500 0.000
0.500 0.500 0.500
0.000 0.000 0.000
```